Record 1
RbHgPb, optimized geometry, DFT PBE-GGA; formation energy from the elements = -136 meV per atom; VASP energy = -5.4 eV per cell; total magnetization = 0.00 Bohr magnetons per cell
1.0
5.421 0.000 0.000
-2.711 4.695 0.000
0.000 0.000 4.274
Rb Hg Pb
1 1 1
Direct
0.000 0.000 0.000
0.333 0.667 0.500
0.667 0.333 0.500

Record 2
RbHg2Pb2, optimized geometry, DFT PBE-GGA; formation energy from the elements = -64 meV per atom; VASP energy = -18.6 eV per cell; total magnetization = 0.00 Bohr magnetons per cell
1.0
9.497 0.000 0.000
0.000 9.497 0.000
0.000 0.000 3.584
Rb Hg Pb
2 4 4
Direct
0.000 0.000 0.000
0.500 0.500 0.000
0.167 0.333 0.500
0.333 0.833 0.500
0.667 0.167 0.500
0.833 0.667 0.500
0.127 0.627 0.000
0.373 0.127 0.000
0.627 0.873 0.000
0.873 0.373 0.000

Record 3
RbHg14Pb, optimized geometry, DFT PBE-GGA; formation energy from the elements = -31 meV per atom; VASP energy = -18.8 eV per cell; total magnetization = 0.00 Bohr magnetons per cell
1.0
-5.717 6.022 7.248
5.717 -6.022 7.248
5.717 6.022 -7.248
Rb Hg Pb
2 28 2
Direct
0.349 0.099 0.250
0.651 0.901 0.750
0.005 0.131 0.626
0.005 0.379 0.874
0.009 0.229 0.067
0.009 0.942 0.780
0.197 0.560 0.368
0.197 0.829 0.637
0.220 0.324 0.604
0.220 0.616 0.896
0.308 0.171 0.868
0.308 0.440 0.137
0.338 0.058 0.567
0.338 0.771 0.280
0.426 0.528 0.602
0.426 0.824 0.898
0.574 0.176 0.102
0.574 0.472 0.398
0.662 0.229 0.720
0.662 0.942 0.433
0.692 0.560 0.863
0.692 0.829 0.132
0.780 0.384 0.104
0.780 0.676 0.396
0.803 0.171 0.363
0.803 0.440 0.632
0.991 0.058 0.220
0.991 0.771 0.933
0.995 0.621 0.126
0.995 0.869 0.374
0.000 0.500 0.500
0.500 0.500 0.000

Record 4
RbHg3Pb, optimized geometry, DFT PBE-GGA; formation energy from the elements = -145 meV per atom; VASP energy = -12.6 eV per cell; total magnetization = 0.00 Bohr magnetons per cell
1.0
5.503 -3.725 0.000
5.503 3.725 0.000
-0.377 0.000 8.319
Rb Hg Pb
2 6 2
Direct
0.245 0.245 0.239
0.755 0.755 0.761
0.114 0.114 0.793
0.212 0.788 0.500
0.285 0.715 0.000
0.715 0.285 0.000
0.788 0.212 0.500
0.886 0.886 0.207
0.379 0.379 0.706
0.621 0.621 0.294

Record 5
Rb3Hg2Pb7, optimized geometry, DFT PBE-GGA; formation energy from the elements = -115 meV per atom; VASP energy = -30.8 eV per cell; total magnetization = 0.00 Bohr magnetons per cell
1.0
3.459 1.997 10.452
-3.459 1.997 10.452
0.000 -3.994 10.452
Rb Hg Pb
3 2 7
Direct
0.000 0.000 0.000
0.142 0.142 0.142
0.858 0.858 0.858
0.336 0.336 0.336
0.664 0.664 0.664
0.080 0.581 0.581
0.419 0.419 0.920
0.419 0.920 0.419
0.500 0.500 0.500
0.581 0.080 0.581
0.581 0.581 0.080
0.920 0.419 0.419

Record 6
RbHg2Pb, optimized geometry, DFT PBE-GGA; formation energy from the elements = -162 meV per atom; VASP energy = -47.4 eV per cell; total magnetization = 0.00 Bohr magnetons per cell
1.0
16.867 0.000 0.000
0.000 5.009 0.000
0.000 0.000 13.752
Rb Hg Pb
8 16 8
Direct
0.046 0.250 0.243
0.202 0.750 0.946
0.298 0.250 0.446
0.454 0.750 0.743
0.546 0.250 0.257
0.702 0.750 0.554
0.798 0.250 0.054
0.954 0.750 0.757
0.029 0.250 0.953
0.113 0.250 0.764
0.124 0.750 0.425
0.205 0.750 0.230
0.295 0.250 0.730
0.376 0.250 0.925
0.387 0.750 0.264
0.471 0.750 0.453
0.529 0.250 0.547
0.613 0.250 0.736
0.624 0.750 0.075
0.705 0.750 0.270
0.795 0.250 0.770
0.876 0.250 0.575
0.887 0.750 0.236
0.971 0.750 0.047
0.069 0.250 0.547
0.188 0.750 0.644
0.312 0.250 0.144
0.431 0.750 0.047
0.569 0.250 0.953
0.688 0.750 0.856
0.812 0.250 0.356
0.931 0.750 0.453

Record 7
Rb4Hg4Pb, optimized geometry, DFT PBE-GGA; formation energy from the elements = -188 meV per atom; VASP energy = -21.0 eV per cell; total magnetization = 0.00 Bohr magnetons per cell
1.0
10.533 0.000 0.000
0.000 10.533 0.000
0.000 0.000 7.398
Rb Hg Pb
8 8 2
Direct
0.036 0.821 0.101
0.179 0.536 0.601
0.321 0.964 0.601
0.464 0.679 0.101
0.536 0.321 0.899
0.679 0.036 0.399
0.821 0.464 0.399
0.964 0.179 0.899
0.011 0.135 0.411
0.135 0.489 0.089
0.365 0.011 0.089
0.489 0.365 0.411
0.511 0.635 0.589
0.635 0.989 0.911
0.865 0.511 0.911
0.989 0.865 0.589
0.250 0.250 0.250
0.750 0.750 0.750

Record 8
Rb2Hg16Pb, optimized geometry, DFT PBE-GGA; formation energy from the elements = -98 meV per atom; VASP energy = -12.3 eV per cell; total magnetization = 0.00 Bohr magnetons per cell
1.0
5.379 3.105 5.732
-5.379 3.105 5.732
0.000 -6.211 5.732
Rb Hg Pb
2 16 1
Direct
0.000 0.000 0.000
0.330 0.330 0.330
0.026 0.026 0.547
0.026 0.547 0.026
0.199 0.653 0.653
0.294 0.294 0.859
0.294 0.859 0.294
0.378 0.674 0.971
0.378 0.971 0.674
0.547 0.026 0.026
0.653 0.199 0.653
0.653 0.653 0.199
0.674 0.378 0.971
0.674 0.971 0.378
0.781 0.781 0.781
0.859 0.294 0.294
0.971 0.378 0.674
0.971 0.674 0.378
0.586 0.586 0.586